# Sc2BeRe PBE-GGA optimized geometry
data_Sc2BeRe
_chemical_formula_sum 'Sc8 Be4 Re4'
_space_group_name_H-M_alt 'F -4 3 m'
_space_group_IT_number 216
_space_group_name_Hall 'F -4 2 3'
_cell_length_a 6.371
_cell_length_b 6.371
_cell_length_c 6.371
_cell_angle_alpha 90.00
_cell_angle_beta 90.00
_cell_angle_gamma 90.00
loop_
_atom_site_label
_atom_site_type_symbol
_atom_site_fract_x
_atom_site_fract_y
_atom_site_fract_z
Sc1 Sc 0.000 0.000 0.000
Sc2 Sc 0.250 0.250 0.250
Be1 Be 0.250 0.250 0.750
Re1 Re 0.000 0.000 0.500
# Magnetization in Bohr magnetons per cell: 0.0
# DOS at the Fermi energy in states/eV/f.u.: 5.7
# DFT formation energy in kJ/mol of formula units: 81